# K2TmUS4, relaxed, DFT PBE
# Crystal system ... monoclinic
# Density ... 4.90 g/cm3
# Total magnetization ... 3.0 μB per formula unit
# Formation energy (no corrections) ... -155.5 kJ/mol of atoms
# D(E_F) ... 6.24 states/eV per cell
data_K2TmUS4
_space_group_name_H-M_alt 'P 1'
_space_group_IT_number 1
_cell_length_a 4.024
_cell_length_b 6.985
_cell_length_c 7.749
_cell_angle_alpha 107.45
_cell_angle_beta 90.00
_cell_angle_gamma 90.00
loop_
_space_group_symop_operation_xyz
'x,y,z'
loop_
_atom_site_label
_atom_site_fract_x
_atom_site_fract_y
_atom_site_fract_z
K1 0.500 0.000 0.500
K2 0.000 0.500 0.500
Tm1 0.500 0.500 0.000
U1 0.000 0.000 0.000
S1 0.500 0.239 0.203
S2 0.500 0.761 0.797
S3 0.000 0.270 0.799
S4 0.000 0.730 0.201